Entry 1:
DFT (GGA-PBE) results for an optimized crystal structure of ScTc2P.

For the formation enthalpy at 0 K, the calculation gives -372.1 meV/atom.

It has space group C2/m (No. 12), with a = 8.979 Å, b = 3.071 Å, c = 4.763 Å, α = 90.00°, β = 111.04° and γ = 90.00°. Symmetry generates all atoms from Sc at (0.000, 0.000, 0.000), Tc at (0.218, 0.000, 0.702) and P at (0.000, 0.500, 0.500).

***

Entry 2:
DFT (GGA-PBE) results for an optimized crystal structure of Y2InTe.

The uncorrected formation energy comes out at -225 kJ/mol of formula units.

It has space group I-42d (No. 122), with a = 8.285 Å, b = 8.285 Å, c = 6.929 Å, α = 90.00°, β = 90.00° and γ = 90.00°. Symmetry generates all atoms from Y at (0.244, 0.250, 0.125), In at (0.000, 0.000, 0.500) and Te at (0.000, 0.000, 0.000).

***

Entry 3:
DFT (GGA-PBE) results for an optimized crystal structure of Sc2TcOs.

For the formation enthalpy at 0 K, the calculation gives -114.4 meV/atom.

It has space group P2/m (No. 10), with a = 2.915 Å, b = 4.301 Å, c = 5.403 Å, α = 90.00°, β = 96.94° and γ = 90.00°. Symmetry generates all atoms from Sc at (0.240, 0.000, 0.249), Tc at (0.000, 0.500, 0.500) and Os at (0.500, 0.500, 0.000).